The following is a PBE calculation of an optimized crystal structure of CuRuOF2, from Alexandria via LeMat-Bulk.

Cell and atoms, written as extended XYZ:
```
5
Lattice="-1.5257 -0.0775 -3.6665 -2.6158 -2.7603 1.1468 -2.4807 2.7555 0.9740" Properties=species:S:1:pos:R:3 pbc="T T T"
Cu 0.0000 0.0000 0.0000
Ru -3.3111 -0.0412 -0.7728
F -1.3079 -1.3801 0.5734
F -0.7628 -0.0388 -1.8332
O -1.2403 1.3777 0.4870
```

Summary:
Space group = P4/mmm (123)
Energy above the most stable polymorph in this dataset = 34.2 kJ per mole of atoms
VASP energy = -23.56 eV/f.u.
Raw formation energy = -1.5 eV/f.u.
Total magnetization = 4.1 μB/f.u.

The following is a PBE calculation of an optimized crystal structure of TePb2N, from Alexandria via LeMat-Bulk.

Cell and atoms, written as extended XYZ:
```
8
Lattice="7.1822 0.0000 0.0000 0.0000 7.1822 0.0000 3.5911 3.5911 4.2889" Properties=species:S:1:pos:R:3 pbc="T T T"
Pb 5.3867 6.0284 3.2167
Pb 4.7450 1.7956 1.0722
Pb 2.4373 5.3867 1.0722
Pb 8.9778 8.3361 3.2167
Te 0.0000 0.0000 0.0000
Te 7.1822 3.5911 2.1445
N 3.5911 7.1822 2.1445
N 3.5911 3.5911 0.0000
```

Summary:
Space group = I-42d (122)
Energy above the most stable polymorph in this dataset = 0.0 kJ per mole of atoms
VASP energy = -17.44 eV/f.u.
Raw formation energy = 1.4 eV/f.u.
Total magnetization = 0.0 μB/f.u.

The following is a PBE calculation of an optimized crystal structure of CrFe2Ag, from Alexandria via LeMat-Bulk.

Cell and atoms, written as extended XYZ:
```
4
Lattice="8.8489 0.0171 0.0100 8.4525 2.6189 0.0100 8.4525 1.2878 2.2804" Properties=species:S:1:pos:R:3 pbc="T T T"
Fe 12.6678 1.9300 1.1315
Fe 0.2092 0.0319 0.0187
Cr 19.3154 2.9428 1.7253
Ag 6.4385 0.9809 0.5751
```

Summary:
Space group = R-3m (166)
Energy above the most stable polymorph in this dataset = 4.6 kJ per mole of atoms
VASP energy = -27.92 eV/f.u.
Formation enthalpy at 0 K = 1.48 eV per formula unit
Total magnetization = 2.5 μB/f.u.

The following is a PBE calculation of an optimized crystal structure of BeW2Se, from Alexandria via LeMat-Bulk.

Cell and atoms, written as extended XYZ:
```
4
Lattice="3.1299 0.0000 0.0000 0.0000 4.5319 0.0000 0.0000 0.0000 4.2165" Properties=species:S:1:pos:R:3 pbc="T T T"
W 1.5650 2.2660 0.0000
W 0.0000 0.0000 0.0000
Se 0.0000 2.2660 2.1083
Be 1.5650 0.0000 2.1083
```

Summary:
Space group = Pmmm (47)
Energy above the most stable polymorph in this dataset = 43.2 kJ per mole of atoms
VASP energy = -30.57 eV/f.u.
Raw formation energy = 2.6 eV/f.u.
Total magnetization = 0.0 μB/f.u.

The following is a PBE calculation of an optimized crystal structure of MnHgRu2, from Alexandria via LeMat-Bulk.

Cell and atoms, written as extended XYZ:
```
4
Lattice="4.4781 0.0000 0.0000 2.2390 3.8781 0.0000 2.2390 1.2927 3.6563" Properties=species:S:1:pos:R:3 pbc="T T T"
Mn 6.7171 3.8781 2.7423
Ru 0.0000 0.0000 0.0000
Ru 2.2390 1.2927 0.9141
Hg 4.4781 2.5854 1.8282
```

Summary:
Space group = F-43m (216)
VASP energy = -25.88 eV/f.u.
Formation enthalpy at 0 K = 2.14 eV per formula unit
Total magnetization = 5.3 μB/f.u.

The following is a PBE calculation of an optimized crystal structure of ScIn2Ir, from Alexandria via LeMat-Bulk.

Cell and atoms, written as extended XYZ:
```
4
Lattice="6.7080 0.5784 -0.0603 4.0237 5.3982 0.0603 -4.8829 -3.8555 2.5744" Properties=species:S:1:pos:R:3 pbc="T T T"
In 10.0989 5.6242 0.0000
In 5.9987 3.3407 0.0000
Sc 2.2533 2.2655 1.3173
Ir 3.5955 -0.1444 1.2570
```

Summary:
Space group = Immm (71)
VASP energy = -21.70 eV/f.u.
Formation enthalpy at 0 K = -1.03 eV per formula unit
Total magnetization = 0.0 μB/f.u.

The following is a PBE calculation of an optimized crystal structure of AlReAs2, from Alexandria via LeMat-Bulk.

Cell and atoms, written as extended XYZ:
```
4
Lattice="-2.7739 3.3792 -0.9803 -4.1740 1.3320 0.9371 0.5917 3.9547 4.6545" Properties=species:S:1:pos:R:3 pbc="T T T"
As -6.3448 8.1456 4.0641
As -1.5354 2.6441 1.7020
Re -3.2370 4.4849 2.4249
Al -4.7732 6.3903 3.3376
```

Summary:
Space group = Cm (8)
Energy above the most stable polymorph in this dataset = 7.1 kJ per mole of atoms
VASP energy = -25.06 eV/f.u.
Formation enthalpy at 0 K = 0.43 eV per formula unit
Total magnetization = 0.0 μB/f.u.

The following is a PBE calculation of an optimized crystal structure of ThCuRh2, from Alexandria via LeMat-Bulk.

Cell and atoms, written as extended XYZ:
```
4
Lattice="-0.7171 -3.3380 1.8411 4.0250 -1.1889 -0.5878 1.0701 1.8018 3.6835" Properties=species:S:1:pos:R:3 pbc="T T T"
Cu -0.3586 -1.6690 0.9206
Th 2.1890 -1.3625 2.4684
Rh 2.0125 -0.5945 -0.2939
Rh 0.5351 0.9009 1.8418
```

Summary:
Space group = P4/mmm (123)
Energy above the most stable polymorph in this dataset = 0.0 kJ per mole of atoms
VASP energy = -28.92 eV/f.u.
Formation enthalpy at 0 K = -2.70 eV per formula unit
Total magnetization = 0.0 μB/f.u.

The following is a PBE calculation of an optimized crystal structure of AlCoAg2, from Alexandria via LeMat-Bulk.

Cell and atoms, written as extended XYZ:
```
4
Lattice="2.7718 -0.1097 0.0000 -1.1028 2.5453 0.0000 0.0000 0.0000 9.1606" Properties=species:S:1:pos:R:3 pbc="T T T"
Ag 0.0000 0.0000 4.6115
Ag 0.0000 0.0000 9.1294
Al 0.8345 1.2178 2.2902
Co 0.8345 1.2178 6.8705
```

Summary:
Space group = Cmmm (65)
VASP energy = -15.44 eV/f.u.
Formation enthalpy at 0 K = 1.11 eV per formula unit
Total magnetization = 1.8 μB/f.u.

The following is a PBE calculation of an optimized crystal structure of Ga2NiW, from Alexandria via LeMat-Bulk.

Cell and atoms, written as extended XYZ:
```
4
Lattice="0.0000 3.0513 3.0513 3.0513 0.0000 3.0513 3.0513 3.0513 0.0000" Properties=species:S:1:pos:R:3 pbc="T T T"
Ga 1.5257 1.5257 1.5257
Ga 4.5770 4.5770 4.5770
Ni 0.0000 0.0000 0.0000
W 3.0513 3.0513 3.0513
```

Summary:
Space group = Fm-3m (225)
Energy above the most stable polymorph in this dataset = 0.0 kJ per mole of atoms
VASP energy = -24.00 eV/f.u.
Formation enthalpy at 0 K = 0.79 eV per formula unit
Total magnetization = 0.0 μB/f.u.

The following is a PBE calculation of an optimized crystal structure of Tb2Sm3Tm2, from Alexandria via LeMat-Bulk.

Cell and atoms, written as extended XYZ:
```
7
Lattice="-1.1536 0.9832 3.1597 7.3202 -2.6037 3.4827 -0.0705 7.7592 -4.3836" Properties=species:S:1:pos:R:3 pbc="T T T"
Sm 5.5673 1.4272 1.5885
Sm 3.6601 -1.3019 1.7414
Sm 0.5288 4.7114 0.6704
Tb 0.0883 6.9461 -2.1292
Tb 6.0078 -0.8075 4.3880
Tm 2.1992 1.5621 0.3168
Tm 3.8969 4.5766 1.9420
```

Summary:
Space group = C2/m (12)
Energy above the most stable polymorph in this dataset = 9.5 kJ per mole of atoms
VASP energy = -31.55 eV/f.u.
Formation enthalpy at 0 K = 0.81 eV per formula unit
Total magnetization = 0.0 μB/f.u.

The following is a PBE calculation of an optimized crystal structure of ZnHBr, from Alexandria via LeMat-Bulk.

Cell and atoms, written as extended XYZ:
```
12
Lattice="4.9411 0.0000 0.0000 0.0000 7.4307 0.6516 0.0000 -2.7463 7.5451" Properties=species:S:1:pos:R:3 pbc="T T T"
Zn 3.4932 2.8577 7.1526
Zn 3.9185 -0.8576 6.8268
Zn 1.0226 5.5421 1.3700
Zn 1.4479 1.8267 1.0441
Br 4.3704 4.7657 5.8736
Br 1.8998 3.6341 2.6490
Br 3.0413 1.0503 5.5477
Br 0.5707 -0.0812 2.3232
H 2.8692 1.2446 0.3982
H 2.0720 3.4399 7.7985
H 0.3986 -0.2755 7.4727
H 4.5425 4.9599 0.7241
```

Summary:
Space group = P2_1/c (14)
VASP energy = -7.51 eV/f.u.
Total magnetization = 0.0 μB/f.u.